# PBE NaCdSn4, relaxed
data_NaCdSn4
_chemical_formula_sum 'Na2 Cd2 Sn8'
_cell_length_a 6.375
_cell_length_b 9.137
_cell_length_c 6.476
_cell_angle_alpha 90.00
_cell_angle_beta 118.70
_cell_angle_gamma 90.00
_symmetry_space_group_name_H-M 'C 1 2/m 1'
_symmetry_Int_Tables_number 12
loop_
_symmetry_equiv_pos_as_xyz
'x,y,z'
'-x,-y,-z'
'-x,y,-z'
'x,-y,z'
'x+1/2,y+1/2,z'
'-x+1/2,-y+1/2,-z'
'-x+1/2,y+1/2,-z'
'x+1/2,-y+1/2,z'
loop_
_atom_site_label
_atom_site_type_symbol
_atom_site_fract_x
_atom_site_fract_y
_atom_site_fract_z
Na1 Na 0.000 0.000 0.000
Cd1 Cd 0.000 0.000 0.500
Sn1 Sn 0.031 0.320 0.265
# ρ = 6.13 g/cm³
# ΔE_f = -0.0013 eV per atom
# Energy above the lowest structure with this stoichiometry = 29 kJ/mol of formula units


# PBE NaCd2Sn2, relaxed
data_NaCd2Sn2
_chemical_formula_sum 'Na2 Cd4 Sn4'
_cell_length_a 4.657
_cell_length_b 4.657
_cell_length_c 12.998
_cell_angle_alpha 90.00
_cell_angle_beta 90.00
_cell_angle_gamma 90.00
_symmetry_space_group_name_H-M 'P 4/n m m'
_symmetry_Int_Tables_number 129
loop_
_symmetry_equiv_pos_as_xyz
'x,y,z'
'-x,-y,-z'
'-y+1/2,x,z'
'y+1/2,-x,-z'
'-x+1/2,-y+1/2,z'
'x+1/2,y+1/2,-z'
'y,-x+1/2,z'
'-y,x+1/2,-z'
'x+1/2,-y,-z'
'-x+1/2,y,z'
'-y,-x,-z'
'y,x,z'
'-x,y+1/2,-z'
'x,-y+1/2,z'
'y+1/2,x+1/2,-z'
'-y+1/2,-x+1/2,z'
loop_
_atom_site_label
_atom_site_type_symbol
_atom_site_fract_x
_atom_site_fract_y
_atom_site_fract_z
Na1 Na 0.250 0.250 0.239
Cd1 Cd 0.250 0.250 0.647
Cd2 Cd 0.250 0.750 0.000
Sn1 Sn 0.250 0.250 0.861
Sn2 Sn 0.250 0.750 0.500
# ρ = 5.72 g/cm³
# ΔE_f = -0.0820 eV per atom
# Energy above the lowest structure with this stoichiometry = 0 kJ/mol of formula units


# PBE NaCd2Sn2, relaxed
data_NaCd2Sn2
_chemical_formula_sum 'Na2 Cd4 Sn4'
_cell_length_a 4.765
_cell_length_b 4.765
_cell_length_c 12.595
_cell_angle_alpha 90.00
_cell_angle_beta 90.00
_cell_angle_gamma 90.00
_symmetry_space_group_name_H-M 'I 4/m m m'
_symmetry_Int_Tables_number 139
_symmetry_space_group_name_Hall '-I 4 2'
loop_
_atom_site_label
_atom_site_type_symbol
_atom_site_fract_x
_atom_site_fract_y
_atom_site_fract_z
Na1 Na 0.000 0.000 0.000
Cd1 Cd 0.000 0.500 0.250
Sn1 Sn 0.000 0.000 0.387
# ρ = 5.63 g/cm³
# ΔE_f = -0.0773 eV per atom
# Energy above the lowest structure with this stoichiometry = 2 kJ/mol of formula units


# PBE NaCd11Sn, relaxed
data_NaCd11Sn
_chemical_formula_sum 'Na2 Cd22 Sn2'
_cell_length_a 6.225
_cell_length_b 14.211
_cell_length_c 7.841
_cell_angle_alpha 90.00
_cell_angle_beta 112.82
_cell_angle_gamma 90.00
_symmetry_space_group_name_H-M 'C 1 2/m 1'
_symmetry_Int_Tables_number 12
loop_
_symmetry_equiv_pos_as_xyz
'x,y,z'
'-x,-y,-z'
'-x,y,-z'
'x,-y,z'
'x+1/2,y+1/2,z'
'-x+1/2,-y+1/2,-z'
'-x+1/2,y+1/2,-z'
'x+1/2,-y+1/2,z'
loop_
_atom_site_label
_atom_site_type_symbol
_atom_site_fract_x
_atom_site_fract_y
_atom_site_fract_z
Na1 Na 0.000 0.000 0.000
Cd1 Cd 0.000 0.500 0.500
Cd2 Cd 0.095 0.392 0.210
Cd3 Cd 0.185 0.179 0.348
Cd4 Cd 0.250 0.250 0.000
Sn1 Sn 0.000 0.000 0.500
# ρ = 7.16 g/cm³
# ΔE_f = 0.0059 eV per atom